No. 1
Here is a geometry-optimized TmTlNO structure from the Open Quantum Materials Database. Energies are from PBE-GGA.

abc: 3.8024 5.9796 6.5586
angles: 90.00 90.00 90.00
Closest atoms and distances in Å follow each position.
Fractional positions:
O  0.5000  0.4076  0.2010  2 Tm 2.15
O  0.5000  0.9076  0.7990  2 Tm 2.15
Tm  0.0000  0.9971  0.6701  2 O 2.15, 2 N 2.20-2.21
Tm  0.0000  0.4971  0.3299  2 O 2.15, 2 N 2.20-2.21
N  0.0000  0.8654  0.3572  2 Tm 2.20-2.21, 2 Tl 2.34
N  0.0000  0.3654  0.6428  2 Tm 2.20-2.21, 2 Tl 2.34
Tl  0.5000  0.9839  0.1795  2 N 2.34, 2 O 2.54
Tl  0.5000  0.4839  0.8205  2 N 2.34, 2 O 2.54

Results
relative energy among the computed polymorphs	164	meV/atom
calculated density	8.98	g/cm3

---

No. 2
Here is a geometry-optimized LiTa2Sn structure from the Open Quantum Materials Database. Energies are from PBE-GGA.

abc: 4.6873 4.6873 4.6873
angles: 60.00 60.00 60.00
Closest atoms and distances in Å follow each position.
Fractional positions:
Li  0.2500  0.2500  0.2500  4 Sn 2.87, 4 Ta 2.87
Ta  0.7500  0.7500  0.7500  4 Sn 2.87, 4 Ta 2.87
Ta  0.0000  0.0000  0.0000  4 Ta 2.87, 4 Li 2.87
Sn  0.5000  0.5000  0.5000  4 Ta 2.87, 4 Li 2.87

Results
calculated density	11.12	g/cm3
energy	-7.13	eV/atom

---

No. 3
Here is a geometry-optimized AcCdTc structure from the Open Quantum Materials Database. Energies are from PBE-GGA.

abc: 4.9859 4.9859 4.9859
angles: 60.00 60.00 60.00
Closest atoms and distances in Å follow each position.
Fractional positions:
Cd  0.2500  0.2500  0.2500  4 Ac 3.05
Tc  0.7500  0.7500  0.7500  4 Ac 3.05
Ac  0.0000  0.0000  0.0000  4 Cd 3.05, 4 Tc 3.05

Results
calculated density	8.29	g/cm3
formation energy from the elements	1224	meV/atom

---

No. 4
Here is a geometry-optimized LiInOsW structure from the Open Quantum Materials Database. Energies are from PBE-GGA.

abc: 4.4371 4.4371 4.4371
angles: 60.00 60.00 60.00
Closest atoms and distances in Å follow each position.
Fractional positions:
Li  0.7500  0.7500  0.7500  4 W 2.72, 4 In 2.72
Os  0.2500  0.2500  0.2500  4 W 2.72, 4 In 2.72
W  0.5000  0.5000  0.5000  4 Li 2.72, 4 Os 2.72
In  0.0000  0.0000  0.0000  4 Li 2.72, 4 Os 2.72

Results
relative energy among the computed polymorphs	0	meV/atom
calculated density	13.33	g/cm3

---

No. 5
Here is a geometry-optimized DyGePd structure from the Open Quantum Materials Database. Energies are from PBE-GGA.

abc: 4.4170 14.0252 7.6174
angles: 90.00 90.00 90.00
Closest atoms and distances in Å follow each position.
Fractional positions:
Dy  0.7500  0.7500  0.2956  6 Ge 3.02-3.03, 6 Pd 3.22-3.23
Dy  0.7500  0.9987  0.2139  6 Pd 2.96-3.16, 6 Ge 3.06-3.23
Dy  0.2500  0.0013  0.7861  6 Pd 2.96-3.16, 6 Ge 3.06-3.23
Dy  0.7500  0.5013  0.2139  6 Pd 2.96-3.16, 6 Ge 3.06-3.23
Dy  0.2500  0.7500  0.7103  6 Pd 3.10-3.13, 6 Ge 3.13-3.20
Dy  0.7500  0.2500  0.2897  6 Pd 3.10-3.13, 6 Ge 3.13-3.20
Dy  0.2500  0.4987  0.7861  6 Pd 2.96-3.16, 6 Ge 3.06-3.23
Dy  0.2500  0.2500  0.7044  6 Ge 3.02-3.03, 6 Pd 3.22-3.23
Pd  0.7500  0.6414  0.9228  3 Ge 2.56-2.58
Pd  0.2500  0.5958  0.4180  4 Ge 2.58-2.83
Pd  0.2500  0.9042  0.4180  4 Ge 2.58-2.83
Pd  0.7500  0.4042  0.5820  4 Ge 2.58-2.83
Pd  0.7500  0.0958  0.5820  4 Ge 2.58-2.83
Pd  0.2500  0.3586  0.0772  3 Ge 2.56-2.58
Pd  0.2500  0.1414  0.0772  3 Ge 2.56-2.58
Pd  0.7500  0.8586  0.9228  3 Ge 2.56-2.58
Ge  0.7500  0.3476  0.9094  3 Pd 2.56-2.62, 1 Ge 2.74
Ge  0.2500  0.3938  0.4090  4 Pd 2.58-2.83
Ge  0.2500  0.1062  0.4090  4 Pd 2.58-2.83
Ge  0.7500  0.8938  0.5910  4 Pd 2.58-2.83
Ge  0.2500  0.6524  0.0906  3 Pd 2.56-2.62, 1 Ge 2.74
Ge  0.7500  0.6062  0.5910  4 Pd 2.58-2.83
Ge  0.7500  0.1524  0.9094  3 Pd 2.56-2.62, 1 Ge 2.74
Ge  0.2500  0.8476  0.0906  3 Pd 2.56-2.62, 1 Ge 2.74

Results
calculated density	9.62	g/cm3
energy	-5.80	eV/atom

---

No. 6
Here is a geometry-optimized Gd2Y2CCl5 structure from the Open Quantum Materials Database. Energies are from PBE-GGA.

abc: 8.7441 8.7441 7.8748
angles: 102.68 102.68 24.83
Closest atoms and distances in Å follow each position.
Fractional positions:
C  0.5000  0.5000  0.0000  2 Y 2.40, 4 Gd 2.51
Gd  0.0018  0.0018  0.7887  2 C 2.51, 1 Cl 2.78
Gd  0.9982  0.9982  0.2113  2 C 2.51, 1 Cl 2.78
Y  0.3561  0.3561  0.9221  1 C 2.40
Y  0.6439  0.6439  0.0779  1 C 2.40
Cl  0.8271  0.8271  0.1585  3 Y 2.77-3.05, 1 Gd 2.86
Cl  0.8360  0.8360  0.6678  2 Y 2.71, 1 Gd 2.78
Cl  0.5000  0.5000  0.5000  4 Gd 2.94
Cl  0.1640  0.1640  0.3322  2 Y 2.71, 1 Gd 2.78
Cl  0.1729  0.1729  0.8415  3 Y 2.77-3.05, 1 Gd 2.86

Results
calculated density	4.59	g/cm3
energy	-5.78	eV/atom

---

No. 7
Here is a geometry-optimized SrLiCoW structure from the Open Quantum Materials Database. Energies are from PBE-GGA.

abc: 4.6637 4.6637 4.6637
angles: 60.00 60.00 60.00
Closest atoms and distances in Å follow each position.
Fractional positions:
Co  0.2500  0.2500  0.2500  4 Sr 2.86, 4 W 2.86
Li  0.7500  0.7500  0.7500  4 W 2.86, 4 Sr 2.86
W  0.0000  0.0000  0.0000  4 Li 2.86, 4 Co 2.86
Sr  0.5000  0.5000  0.5000  4 Co 2.86, 4 Li 2.86

Results
relative energy among the computed polymorphs	0	meV/atom
calculated density	7.81	g/cm3

---

No. 8
Here is a geometry-optimized RbZn2O4 structure from the Open Quantum Materials Database. Energies are from PBE-GGA.

abc: 6.5358 6.5358 6.5358
angles: 120.04 89.94 120.04
Closest atoms and distances in Å follow each position.
Fractional positions:
O  0.5974  0.1943  0.7917  3 Zn 2.08-2.09
O  0.5417  0.6943  0.8474  3 Zn 2.08-2.09
O  0.1526  0.6943  0.8469  3 Zn 2.08-2.09
O  0.2083  0.8057  0.4026  3 Zn 2.08-2.09
O  0.1526  0.3057  0.4583  3 Zn 2.08-2.09
O  0.5969  0.1943  0.4026  3 Zn 2.08-2.09
O  0.1531  0.3057  0.8474  3 Zn 2.08-2.09
O  0.5974  0.8057  0.4031  3 Zn 2.08-2.09
Zn  0.3750  0.7500  0.6250  6 O 2.08-2.09
Zn  0.3750  0.7500  0.1250  6 O 2.08-2.09
Zn  0.8750  0.2500  0.6250  6 O 2.08-2.09
Zn  0.3750  0.2500  0.6250  6 O 2.08-2.09
Rb  0.7500  0.5000  0.2500  4 O 2.45
Rb  0.0000  0.0000  0.0000  4 O 2.45

Results
calculated density	4.72	g/cm3
energy	-3.90	eV/atom

---

No. 9
Here is a geometry-optimized Sc6Al16Ir7 structure from the Open Quantum Materials Database. Energies are from PBE-GGA.

abc: 8.7472 8.7472 8.7472
angles: 120.00 90.00 120.00
Closest atoms and distances in Å follow each position.
Fractional positions:
Ir  0.5000  0.5000  0.5000  8 Al 2.53-2.72
Ir  0.0000  0.5000  0.5000  8 Al 2.53-2.72
Ir  0.0000  0.5000  0.0000  8 Al 2.53-2.72
Ir  0.5000  0.5000  0.0000  8 Al 2.53-2.72
Ir  0.0000  0.0000  0.5000  8 Al 2.53-2.72
Ir  0.0000  0.0000  0.0000  8 Al 2.57
Ir  0.5000  0.0000  0.0000  8 Al 2.53-2.72
Al  0.6649  0.3298  0.9947  3 Ir 2.53, 3 Al 2.77
Al  0.6649  0.3298  0.3351  3 Ir 2.53, 3 Al 2.77
Al  0.9947  0.3298  0.6649  3 Ir 2.53, 3 Al 2.77
Al  0.6649  0.6702  0.3351  3 Ir 2.53, 3 Al 2.77
Al  0.1200  0.7599  0.8800  4 Ir 2.57-2.72, 3 Al 2.77
Al  0.8800  0.7599  0.1200  4 Ir 2.57-2.72, 3 Al 2.77
Al  0.0053  0.6702  0.3351  3 Ir 2.53, 3 Al 2.77
Al  0.8800  0.7599  0.6399  4 Ir 2.57-2.72, 3 Al 2.77
Al  0.8800  0.2401  0.1200  4 Ir 2.57-2.72, 3 Al 2.77
Al  0.3351  0.3298  0.6649  3 Ir 2.53, 3 Al 2.77
Al  0.6399  0.7599  0.8800  4 Ir 2.57-2.72, 3 Al 2.77
Al  0.3351  0.6702  0.0053  3 Ir 2.53, 3 Al 2.77
Al  0.3601  0.2401  0.1200  4 Ir 2.57-2.72, 3 Al 2.77
Al  0.1200  0.2401  0.8800  4 Ir 2.57-2.72, 3 Al 2.77
Al  0.3351  0.6702  0.6649  3 Ir 2.53, 3 Al 2.77
Al  0.1200  0.2401  0.3601  4 Ir 2.57-2.72, 3 Al 2.77
Sc  0.7066  0.0000  0.7066  8 Al 2.93-3.00, 4 Ir 3.14
Sc  0.2934  0.0000  0.2934  8 Al 2.93-3.00, 4 Ir 3.14
Sc  0.2934  0.0000  0.7066  8 Al 2.93-3.00, 4 Ir 3.14
Sc  0.7066  0.0000  0.2934  8 Al 2.93-3.00, 4 Ir 3.14
Sc  0.7066  0.4133  0.7066  8 Al 2.93-3.00, 4 Ir 3.14
Sc  0.2934  0.5867  0.2934  8 Al 2.93-3.00, 4 Ir 3.14

Results
calculated density	7.18	g/cm3
energy	-6.38	eV/atom

---

No. 10
Here is a geometry-optimized BaBeFeMo structure from the Open Quantum Materials Database. Energies are from PBE-GGA.

abc: 4.6606 4.6606 4.6606
angles: 60.00 60.00 60.00
Closest atoms and distances in Å follow each position.
Fractional positions:
Ba  0.2500  0.2500  0.2500  4 Fe 2.85, 4 Mo 2.85
Mo  0.0000  0.0000  0.0000  4 Be 2.85, 4 Ba 2.85
Be  0.7500  0.7500  0.7500  4 Fe 2.85, 4 Mo 2.85
Fe  0.5000  0.5000  0.5000  4 Ba 2.85, 4 Be 2.85

Results
relative energy among the computed polymorphs	149	meV/atom
calculated density	6.92	g/cm3

---

No. 11
Here is a geometry-optimized Tm5Sb4Te structure from the Open Quantum Materials Database. Energies are from PBE-GGA.

abc: 7.4955 7.4955 7.4955
angles: 99.58 99.58 131.86
Closest atoms and distances in Å follow each position.
Fractional positions:
Sb  0.3971  0.7972  0.1961  6 Tm 3.03-3.06
Sb  0.6011  0.2009  0.8039  6 Tm 3.03-3.06
Sb  0.2009  0.3971  0.5998  6 Tm 3.03-3.06
Sb  0.7972  0.6011  0.4002  6 Tm 3.03-3.06
Tm  0.4985  0.4985  0.0000  4 Sb 3.05, 2 Te 3.06
Tm  0.1003  0.6930  0.7951  5 Sb 3.03-3.06, 1 Te 3.12
Tm  0.3051  0.1003  0.4072  5 Sb 3.03-3.06, 1 Te 3.12
Tm  0.6930  0.8979  0.5928  5 Sb 3.03-3.06, 1 Te 3.12
Tm  0.8979  0.3051  0.2049  5 Sb 3.03-3.06, 1 Te 3.12
Te  0.9986  0.9986  0.0000  6 Tm 3.06-3.12

Results
calculated density	8.46	g/cm3
energy	-5.33	eV/atom

---

No. 12
Here is a geometry-optimized Tb2CdPd2 structure from the Open Quantum Materials Database. Energies are from PBE-GGA.

abc: 7.7461 7.7461 3.7365
angles: 90.00 90.00 90.00
Closest atoms and distances in Å follow each position.
Fractional positions:
Pd  0.6288  0.1288  0.0000  1 Pd 2.82, 6 Tb 2.88-3.00, 2 Cd 3.04
Pd  0.1288  0.3712  0.0000  1 Pd 2.82, 6 Tb 2.88-3.00, 2 Cd 3.04
Pd  0.8712  0.6288  0.0000  1 Pd 2.82, 6 Tb 2.88-3.00, 2 Cd 3.04
Pd  0.3712  0.8712  0.0000  1 Pd 2.82, 6 Tb 2.88-3.00, 2 Cd 3.04
Tb  0.1716  0.6716  0.5000  6 Pd 2.88-3.00
Tb  0.3284  0.1716  0.5000  6 Pd 2.88-3.00
Tb  0.6716  0.8284  0.5000  6 Pd 2.88-3.00
Tb  0.8284  0.3284  0.5000  6 Pd 2.88-3.00
Cd  0.0000  0.0000  0.0000  4 Pd 3.04
Cd  0.5000  0.5000  0.0000  4 Pd 3.04

Results
calculated density	9.53	g/cm3
formation energy from the elements	-810	meV/atom

---

No. 13
Here is a geometry-optimized Li2ZrHg structure from the Open Quantum Materials Database. Energies are from PBE-GGA.

abc: 4.6834 4.6834 4.6834
angles: 60.00 60.00 60.00
Closest atoms and distances in Å follow each position.
Fractional positions:
Li  0.7500  0.7500  0.7500  4 Hg 2.87, 4 Li 2.87
Li  0.0000  0.0000  0.0000  4 Zr 2.87, 4 Li 2.87
Hg  0.5000  0.5000  0.5000  4 Zr 2.87, 4 Li 2.87
Zr  0.2500  0.2500  0.2500  4 Li 2.87, 4 Hg 2.87

Results
calculated density	6.99	g/cm3
energy	-3.23	eV/atom

---

No. 14
Here is a geometry-optimized LiTaBePd structure from the Open Quantum Materials Database. Energies are from PBE-GGA.

abc: 4.2764 4.2764 4.2764
angles: 60.00 60.00 60.00
Closest atoms and distances in Å follow each position.
Fractional positions:
Pd  0.2500  0.2500  0.2500  4 Ta 2.62, 4 Li 2.62
Ta  0.0000  0.0000  0.0000  4 Pd 2.62, 4 Be 2.62
Li  0.5000  0.5000  0.5000  4 Be 2.62, 4 Pd 2.62
Be  0.7500  0.7500  0.7500  4 Li 2.62, 4 Ta 2.62

Results
relative energy among the computed polymorphs	64	meV/atom
calculated density	9.11	g/cm3

---

No. 15
Here is a geometry-optimized LuBeInFe structure from the Open Quantum Materials Database. Energies are from PBE-GGA.

abc: 4.5979 4.5979 4.5979
angles: 60.00 60.00 60.00
Closest atoms and distances in Å follow each position.
Fractional positions:
Be  0.5000  0.5000  0.5000  4 Lu 2.82, 4 Fe 2.82
In  0.0000  0.0000  0.0000  4 Fe 2.82, 4 Lu 2.82
Fe  0.7500  0.7500  0.7500  4 Be 2.82, 4 In 2.82
Lu  0.2500  0.2500  0.2500  4 Be 2.82, 4 In 2.82

Results
relative energy among the computed polymorphs	79	meV/atom
calculated density	8.57	g/cm3

---

No. 16
Here is a geometry-optimized Zn2GaCo structure from the Open Quantum Materials Database. Energies are from PBE-GGA.

abc: 4.2141 5.1652 4.8554
angles: 90.00 90.00 90.00
Closest atoms and distances in Å follow each position.
Fractional positions:
Co  0.5000  0.5000  0.1545  4 Ga 2.50-2.59, 8 Zn 2.65-2.76
Co  0.0000  0.0000  0.8455  4 Ga 2.50-2.59, 8 Zn 2.65-2.76
Zn  0.0000  0.7533  0.3490  4 Zn 2.55-2.62, 3 Ga 2.63-2.70, 4 Co 2.65-2.76
Zn  0.5000  0.2533  0.6510  4 Zn 2.55-2.62, 3 Ga 2.63-2.70, 4 Co 2.65-2.76
Zn  0.0000  0.2467  0.3490  4 Zn 2.55-2.62, 3 Ga 2.63-2.70, 4 Co 2.65-2.76
Zn  0.5000  0.7467  0.6510  4 Zn 2.55-2.62, 3 Ga 2.63-2.70, 4 Co 2.65-2.76
Ga  0.5000  0.0000  0.1217  4 Co 2.50-2.59, 6 Zn 2.63-2.70
Ga  0.0000  0.5000  0.8783  4 Co 2.50-2.59, 6 Zn 2.63-2.70

Results
calculated density	8.15	g/cm3
energy	-3.24	eV/atom

---

No. 17
Here is a geometry-optimized Ta2CSeS structure from the Open Quantum Materials Database. Energies are from PBE-GGA.

abc: 3.3066 3.3066 9.6941
angles: 90.00 90.00 120.00
Closest atoms and distances in Å follow each position.
Fractional positions:
Ta  0.3333  0.6667  0.8841  3 C 2.23
Ta  0.6667  0.3333  0.1252  3 C 2.25, 3 S 2.50
Se  0.6667  0.3333  0.6966  3 Ta 2.64
S  0.3333  0.6667  0.2918  3 Ta 2.50
C  0.0000  0.0000  0.0023  6 Ta 2.23-2.25

Results
calculated density	8.77	g/cm3
energy	-8.98	eV/atom

---

No. 18
Here is a geometry-optimized TmTlS structure from the Open Quantum Materials Database. Energies are from PBE-GGA.

abc: 9.7910 9.7910 9.7910
angles: 26.21 26.21 26.21
Closest atoms and distances in Å follow each position.
Fractional positions:
Tm  0.1067  0.1067  0.1067  4 S 2.64-2.75
Tm  0.8933  0.8933  0.8933  4 S 2.64-2.75
S  0.2038  0.2038  0.2038  4 Tm 2.64-2.75
S  0.7962  0.7962  0.7962  4 Tm 2.64-2.75
Tl  0.6380  0.6380  0.6380  3 Tl 3.04, 3 Tm 3.38
Tl  0.3620  0.3620  0.3620  3 Tl 3.04, 3 Tm 3.38

Results
calculated density	8.34	g/cm3
energy	-4.67	eV/atom

---

No. 19
Here is a geometry-optimized LiAl2Pd structure from the Open Quantum Materials Database. Energies are from PBE-GGA.

abc: 3.1747 3.1747 5.7715
angles: 90.00 90.00 90.00
Closest atoms and distances in Å follow each position.
Fractional positions:
Pd  0.0000  0.0000  0.5000  8 Al 2.66, 2 Li 2.89
Li  0.0000  0.0000  0.0000  8 Al 2.68, 2 Pd 2.89
Al  0.5000  0.5000  0.2523  4 Pd 2.66, 4 Li 2.68, 2 Al 2.86-2.91
Al  0.5000  0.5000  0.7477  4 Pd 2.66, 4 Li 2.68, 2 Al 2.86-2.91

Results
relative energy among the computed polymorphs	100	meV/atom
calculated density	4.78	g/cm3

---

No. 20
Here is a geometry-optimized Fe7Pt6 structure from the Open Quantum Materials Database. Energies are from PBE-GGA.

abc: 9.1710 9.1710 9.1710
angles: 30.56 30.56 30.56
Closest atoms and distances in Å follow each position.
Fractional positions:
Pt  0.3459  0.3459  0.3459  12 Fe 2.72-2.94, 4 Pt 2.76-2.87
Pt  0.4511  0.4511  0.4511  2 Pt 2.56-2.76, 6 Fe 2.64
Pt  0.1667  0.1667  0.1667  6 Fe 2.73-2.74, 3 Pt 2.79
Pt  0.8333  0.8333  0.8333  6 Fe 2.73-2.74, 3 Pt 2.79
Pt  0.6541  0.6541  0.6541  12 Fe 2.72-2.94, 4 Pt 2.76-2.87
Pt  0.5489  0.5489  0.5489  2 Pt 2.56-2.76, 6 Fe 2.64
Fe  0.4121  0.9091  0.9091  5 Fe 2.40-2.45, 2 Pt 2.64
Fe  0.0000  0.0000  0.0000  6 Fe 2.45
Fe  0.9091  0.4121  0.9091  5 Fe 2.40-2.45, 2 Pt 2.64
Fe  0.0909  0.5879  0.0909  5 Fe 2.40-2.45, 2 Pt 2.64
Fe  0.9091  0.9091  0.4121  5 Fe 2.40-2.45, 2 Pt 2.64
Fe  0.5879  0.0909  0.0909  5 Fe 2.40-2.45, 2 Pt 2.64
Fe  0.0909  0.0909  0.5879  5 Fe 2.40-2.45, 2 Pt 2.64

Results
relative energy among the computed polymorphs	0	meV/atom
calculated density	14.67	g/cm3
formation energy from the elements	-142	meV/atom